[1]
DFT (GGA-PBEsol) results for crystalline Li3TiMn3O8 at its relaxed geometry.

Results
Mass density ... 4.323 Mg/m³
D(E_F) ... 3.03 states/eV/cell
Raw formation energy ... -2.0184 eV/atom
Energy above the most stable polymorph in this dataset ... 0 meV/atom

Cell: 5.7533 5.7533 9.5270 Å, 92.58 92.58 117.88°
With the nearest neighbours (Å) after each atom.
Sites, in units of the cell vectors:
1 Li 0.8311 0.6507 0.9367  4 O 1.95-2.17
2 Li 0.1671 0.3596 0.4504  6 O 1.96-2.17
3 Li 0.1664 0.8330 0.4435  4 O 1.97-2.09
4 Li 0.6507 0.8311 0.4367  4 O 1.95-2.17
5 Li 0.8330 0.1664 0.9435  4 O 1.97-2.09
6 Li 0.3596 0.1671 0.9504  6 O 1.96-2.17
7 O 0.3369 0.6961 0.5951  2 Mn 1.90-1.91, 2 Li 2.09-2.11
8 O 0.4909 0.4699 0.3492  1 Mn 1.89, 2 Li 1.96-1.98, 1 Ti 2.02
9 O 0.6961 0.3369 0.0951  2 Mn 1.90-1.91, 2 Li 2.09-2.11
10 O 0.4782 0.9519 0.8400  2 Mn 1.93-1.95, 2 Li 1.96-2.00
11 O 0.4699 0.4909 0.8492  1 Mn 1.89, 2 Li 1.96-1.98, 1 Ti 2.02
12 O 0.6900 0.8354 0.0899  2 Mn 1.97, 1 Ti 1.99, 1 Li 2.17
13 O 0.9850 0.9729 0.8251  2 Mn 1.91-1.92, 2 Li 2.02-2.04
14 O 0.1964 0.3341 0.0927  1 Ti 1.87, 1 Mn 1.94
15 O 0.8534 0.2007 0.5910  1 Ti 1.89, 1 Mn 1.95
16 O 0.2007 0.8534 0.0910  1 Ti 1.89, 1 Mn 1.95
17 O 0.9729 0.9850 0.3251  2 Mn 1.91-1.92, 2 Li 2.02-2.04
18 O 0.9519 0.4782 0.3400  2 Mn 1.93-1.95, 2 Li 1.96-2.00
19 O 0.4957 0.0339 0.3508  1 Mn 1.91, 2 Li 1.95-1.97, 1 Ti 1.96
20 O 0.0339 0.4957 0.8508  1 Mn 1.91, 2 Li 1.95-1.97, 1 Ti 1.96
21 O 0.3341 0.1964 0.5927  1 Ti 1.87, 1 Mn 1.94
22 O 0.8354 0.6900 0.5899  2 Mn 1.97, 1 Ti 1.99, 1 Li 2.17
23 Ti 0.3269 0.6426 0.9968  5 O 1.87-2.02
24 Ti 0.6426 0.3269 0.4968  5 O 1.87-2.02
25 Mn 0.8343 0.6588 0.2111  4 O 1.91-1.97
26 Mn 0.8308 0.1623 0.2132  4 O 1.90-1.97
27 Mn 0.1623 0.8308 0.7132  4 O 1.90-1.97
28 Mn 0.1697 0.3385 0.7195  4 O 1.89-1.95
29 Mn 0.6588 0.8343 0.7111  4 O 1.91-1.97
30 Mn 0.3385 0.1697 0.2195  4 O 1.89-1.95

[2]
DFT (GGA-PBEsol) results for crystalline Li4Ti5Mn3O16 at its relaxed geometry.

Results
Mass density ... 4.043 Mg/m³
D(E_F) ... 5.64 states/eV/cell
Raw formation energy ... -2.4784 eV/atom

Cell: 5.8869 5.8318 9.5337 Å, 89.64 90.00 120.31°
With the nearest neighbours (Å) after each atom.
Sites, in units of the cell vectors:
1 Mn 0.3389 0.1674 0.2894  6 O 1.92-2.13
2 Mn 0.8284 0.1674 0.2894  6 O 1.92-2.13
3 Mn 0.1694 0.3388 0.7887  6 O 1.92-2.08
4 O 0.0035 0.0070 0.6916  1 Li 1.79, 1 Mn 1.92, 2 Ti 1.95
5 O 0.3324 0.1568 0.9055  2 Ti 1.90-2.06, 1 Li 1.95, 1 Mn 2.07
6 O 0.6721 0.8384 0.4021  1 Li 1.95, 1 Mn 1.97, 2 Ti 1.97-2.10
7 O 0.4936 0.5353 0.6568  2 Ti 1.88-2.08, 1 Li 1.97, 1 Mn 2.08
8 O 0.1662 0.8384 0.4021  1 Li 1.95, 1 Mn 1.97, 2 Ti 1.97-2.10
9 O 0.4856 0.9712 0.6666  1 Li 1.95, 2 Ti 1.97
10 O 0.5220 0.4829 0.1627  1 Ti 1.90, 1 Li 1.96, 1 Mn 1.99
11 O 0.1749 0.3498 0.4146  1 Ti 1.82, 1 Li 1.92
12 O 0.8341 0.6682 0.8990  1 Li 1.97, 3 Ti 2.01-2.14
13 O 0.5159 0.0319 0.1466  1 Ti 1.85, 1 Li 1.93
14 O 0.6646 0.3293 0.3921  2 Mn 1.93, 1 Ti 1.97, 1 Li 1.99
15 O 0.3324 0.6647 0.8941  1 Mn 1.93, 2 Ti 1.97, 1 Li 1.99
16 O 0.0056 0.0112 0.1957  1 Li 1.79, 2 Mn 1.92, 1 Ti 1.94
17 O 0.8244 0.1568 0.9055  2 Ti 1.90-2.06, 1 Li 1.95, 1 Mn 2.07
18 O 0.9609 0.4829 0.1627  1 Ti 1.90, 1 Li 1.96, 1 Mn 1.99
19 O 0.0417 0.5353 0.6568  2 Ti 1.88-2.08, 1 Li 1.97, 1 Mn 2.08
20 Ti 0.3340 0.6680 0.5042  3 O 1.82-1.97
21 Ti 0.8278 0.6556 0.2766  6 O 1.90-2.10
22 Ti 0.6585 0.8225 0.7818  6 O 1.88-2.06
23 Ti 0.6484 0.2968 0.0107  3 O 1.85-1.90
24 Ti 0.1640 0.8225 0.7818  6 O 1.88-2.06
25 Li 0.9996 0.9993 0.0077  4 O 1.79-1.97
26 Li 0.3289 0.6579 0.1028  4 O 1.93-1.99
27 Li 0.0032 0.0063 0.5042  4 O 1.79-1.95
28 Li 0.6690 0.3381 0.6004  4 O 1.95-1.99